! LiLaNdSe3 (PBE-GGA, optimized geometry); values from VASP
&SYSTEM
  ibrav = 0, nat = 12, ntyp = 4
/
ATOMIC_SPECIES
Li 6.94 Li.upf
La 138.91 La.upf
Nd 144.24 Nd.upf
Se 78.96 Se.upf
ATOMIC_POSITIONS crystal
Li 0.086 0.250 0.085
Li 0.914 0.750 0.915
La 0.181 0.250 0.722
La 0.819 0.750 0.278
Nd 0.338 0.750 0.336
Nd 0.662 0.250 0.664
Se 0.094 0.250 0.367
Se 0.211 0.750 0.996
Se 0.422 0.750 0.677
Se 0.578 0.250 0.323
Se 0.789 0.250 0.004
Se 0.906 0.750 0.633
CELL_PARAMETERS angstrom
8.724 0.000 0.000
0.000 4.112 0.000
-1.935 0.000 8.804
! Crystal system: monoclinic
! Space-group type: P2_1/m
! Formation energy from raw total energies: -1.745 eV/atom

! LiLa2NdSe5 (PBE-GGA, optimized geometry); values from VASP
&SYSTEM
  ibrav = 0, nat = 18, ntyp = 4
/
ATOMIC_SPECIES
Li 6.94 Li.upf
La 138.91 La.upf
Nd 144.24 Nd.upf
Se 78.96 Se.upf
ATOMIC_POSITIONS crystal
Li 0.014 0.986 0.500
Li 0.986 0.014 0.000
La 0.378 0.622 0.317
La 0.391 0.609 0.702
La 0.609 0.391 0.202
La 0.622 0.378 0.817
Nd 0.304 0.696 0.019
Nd 0.696 0.304 0.519
Se 0.001 0.999 0.302
Se 0.136 0.864 0.017
Se 0.192 0.808 0.358
Se 0.211 0.789 0.682
Se 0.456 0.544 0.090
Se 0.544 0.456 0.590
Se 0.789 0.211 0.182
Se 0.808 0.192 0.858
Se 0.864 0.136 0.517
Se 0.999 0.001 0.802
CELL_PARAMETERS angstrom
2.124 -8.798 0.000
2.124 8.798 0.000
0.000 0.000 12.674
! Crystal system: orthorhombic
! Space-group type: Cmc2_1
! Formation energy from raw total energies: -1.835 eV/atom

! LiLa4Nd3Se8 (PBE-GGA, optimized geometry); values from VASP
&SYSTEM
  ibrav = 0, nat = 16, ntyp = 4
/
ATOMIC_SPECIES
Li 6.94 Li.upf
La 138.91 La.upf
Nd 144.24 Nd.upf
Se 78.96 Se.upf
ATOMIC_POSITIONS crystal
Li 0.000 0.000 0.000
La 0.000 0.000 0.500
La 0.000 0.500 0.000
La 0.500 0.000 0.000
La 0.500 0.500 0.500
Nd 0.000 0.500 0.500
Nd 0.500 0.000 0.500
Nd 0.500 0.500 0.000
Se 0.242 0.242 0.755
Se 0.242 0.755 0.242
Se 0.245 0.758 0.758
Se 0.251 0.251 0.251
Se 0.749 0.749 0.749
Se 0.755 0.242 0.242
Se 0.758 0.245 0.758
Se 0.758 0.758 0.245
CELL_PARAMETERS angstrom
4.265 2.463 6.913
-4.265 2.463 6.913
0.000 -4.925 6.913
! Crystal system: trigonal
! Space-group type: R-3m
! Formation energy from raw total energies: -1.873 eV/atom

! LiLa3Nd4Se8 (PBE-GGA, optimized geometry); values from VASP
&SYSTEM
  ibrav = 0, nat = 16, ntyp = 4
/
ATOMIC_SPECIES
Li 6.94 Li.upf
La 138.91 La.upf
Nd 144.24 Nd.upf
Se 78.96 Se.upf
ATOMIC_POSITIONS crystal
Li 0.000 0.000 0.000
La 0.000 0.500 0.500
La 0.500 0.000 0.500
La 0.500 0.500 0.000
Nd 0.000 0.000 0.500
Nd 0.000 0.500 0.000
Nd 0.500 0.000 0.000
Nd 0.500 0.500 0.500
Se 0.241 0.756 0.756
Se 0.244 0.244 0.759
Se 0.244 0.759 0.244
Se 0.249 0.249 0.249
Se 0.751 0.751 0.751
Se 0.756 0.241 0.756
Se 0.756 0.756 0.241
Se 0.759 0.244 0.244
CELL_PARAMETERS angstrom
4.239 2.448 6.959
-4.239 2.448 6.959
0.000 -4.895 6.959
! Crystal system: trigonal
! Space-group type: R-3m
! Formation energy from raw total energies: -1.857 eV/atom

! LiLaNd2Se5 (PBE-GGA, optimized geometry); values from VASP
&SYSTEM
  ibrav = 0, nat = 18, ntyp = 4
/
ATOMIC_SPECIES
Li 6.94 Li.upf
La 138.91 La.upf
Nd 144.24 Nd.upf
Se 78.96 Se.upf
ATOMIC_POSITIONS crystal
Li 0.011 0.989 0.500
Li 0.989 0.011 0.000
La 0.305 0.695 0.014
La 0.695 0.305 0.514
Nd 0.379 0.621 0.312
Nd 0.390 0.610 0.699
Nd 0.610 0.390 0.199
Nd 0.621 0.379 0.812
Se 0.003 0.997 0.302
Se 0.135 0.865 0.014
Se 0.191 0.809 0.348
Se 0.209 0.791 0.681
Se 0.458 0.542 0.091
Se 0.542 0.458 0.591
Se 0.791 0.209 0.181
Se 0.809 0.191 0.848
Se 0.865 0.135 0.514
Se 0.997 0.003 0.802
CELL_PARAMETERS angstrom
2.106 -8.777 0.000
2.106 8.777 0.000
0.000 0.000 12.651
! Crystal system: orthorhombic
! Space-group type: Cmc2_1
! Formation energy from raw total energies: -1.758 eV/atom

! Li2LaNd2Si2 (PBE-GGA, optimized geometry); values from VASP
&SYSTEM
  ibrav = 0, nat = 7, ntyp = 4
/
ATOMIC_SPECIES
Li 6.94 Li.upf
La 138.91 La.upf
Nd 144.24 Nd.upf
Si 28.09 Si.upf
ATOMIC_POSITIONS crystal
Li 0.096 0.096 0.096
Li 0.904 0.904 0.904
La 0.500 0.500 0.500
Nd 0.372 0.372 0.372
Nd 0.628 0.628 0.628
Si 0.239 0.239 0.239
Si 0.761 0.761 0.761
CELL_PARAMETERS angstrom
2.290 1.322 9.218
-2.290 1.322 9.218
0.000 -2.644 9.218
! Crystal system: trigonal
! Space-group type: R-3m
! Formation energy from raw total energies: -0.392 eV/atom

- The lowest formation energy from raw total energies belongs to which entry?
  LiLa4Nd3Se8

- Look up the formation energy from raw total energies of the fourth one.
  -1.857 eV/atom

- The highest formation energy from raw total energies belongs to which entry?
  Li2LaNd2Si2

- What is the formation energy from raw total energies in the first record?
  -1.745 eV/atom